Here is an optimized crystal structure of Ac4Ni2Pt from the Alexandria database. Energies are from PBE.

Properties
mass density	9.29	g/cm3
total energy	-5.2939	eV/atom
crystal system	orthorhombic
ΔE_f	-3.02	eV per formula unit
space-group type	Imma (74)

Lattice parameters (Å, degrees): 8.276 8.277 8.278 109.80 109.71 108.92
Atoms (fractional coordinates):
Ac 0.922 0.228 0.307
Ac 0.328 0.522 0.194
Ac 0.922 0.615 0.694
Ac 0.772 0.078 0.694
Ac 0.385 0.078 0.306
Ac 0.328 0.135 0.806
Ac 0.478 0.672 0.807
Ac 0.865 0.671 0.193
Ni 0.625 0.375 0.750
Ni 0.625 0.875 0.250
Ni 0.625 0.375 0.250
Ni 0.125 0.375 0.750
Pt 0.249 0.749 0.500
Pt 0.001 0.001 0.000